# 1
LaSm2Sn | PBE-GGA | optimized geometry

Lattice parameters (Å, degrees): 4.854 4.982 4.982 90.00 90.00 90.00
Atoms (fractional coordinates):
Sn (0.500, 0.000, 0.000)
Sm (0.000, 0.000, 0.500)
Sm (0.000, 0.500, 0.000)
La (0.500, 0.500, 0.500)

Computed properties:
- Symmetry: P4/mmm (123)
- Crystal system: tetragonal

# 2
Y2FeAu | PBE-GGA | optimized geometry

Lattice parameters (Å, degrees): 3.936 3.934 6.110 90.00 90.00 90.00
Atoms (fractional coordinates):
Au (0.000, 0.000, 0.461)
Fe (0.500, 0.500, 0.802)
Y (0.000, 0.000, 0.934)
Y (0.500, 0.500, 0.303)

Computed properties:
- Symmetry: P4mm (99)
- Crystal system: tetragonal

no.,formation enthalpy at 0 K (meV per atom),magnetization (μB per formula unit),calculated density (g cm⁻³)
1,-453,0.0,7.69
2,-118,1.5,7.56